ReRuSe2 | PBE | optimized geometry

It has space group Cm (No. 8), with a = 9.5123 Å, b = 3.1220 Å, c = 6.3248 Å, α = 90.00°, β = 96.33° and γ = 90.00°. Symmetry generates all atoms from Re at (0.0000, 0.0000, 0.0000), Ru at (0.2836, 0.0000, 0.9914), Se at (0.1728, 0.5000, 0.2385) and Se at (0.4419, 0.0000, 0.7050).

The energy relative to the lowest polymorph listed for this composition comes out at 0.68 eV per formula unit. The formation energy from raw total energies is 0.215 eV/atom.

LiAl3Cu3 | PBE | optimized geometry

It has space group Cmmm (No. 65), with a = 8.3178 Å, b = 8.8241 Å, c = 5.4994 Å, α = 90.00°, β = 90.00° and γ = 90.00°. Symmetry generates all atoms from Li at (0.1690, 0.0000, 0.0000), Al at (0.0000, 0.5000, 0.2513), Al at (0.2500, 0.2500, 0.2565), Cu at (0.0000, 0.1647, 0.5000), Cu at (0.0000, 0.2592, 0.0000) and Cu at (0.2468, 0.0000, 0.5000).

For the formation energy, the calculation gives -0.16 eV/atom.

Nd2YErSc4 | PBE | optimized geometry

It has space group P2/m (No. 10), with a = 5.9728 Å, b = 3.4527 Å, c = 11.2232 Å, α = 90.00°, β = 100.08° and γ = 90.00°. Symmetry generates all atoms from Nd at (0.0000, 0.0000, 0.0000), Nd at (0.0000, 0.5000, 0.5000), Y at (0.5000, 0.0000, 0.5000), Er at (0.5000, 0.5000, 0.0000), Sc at (0.2501, 0.5000, 0.2489) and Sc at (0.2517, 0.0000, 0.7509).

For the formation energy, the calculation gives 0.07 eV/atom.

Cs2RbO | PBE | optimized geometry

It has space group P2_1/m (No. 11), with a = 3.8816 Å, b = 14.6776 Å, c = 8.6212 Å, α = 90.00°, β = 102.31° and γ = 90.00°. Symmetry generates all atoms from Cs at (0.1269, 0.1236, 0.2390), Rb at (0.3027, 0.2500, 0.6088) and O at (0.3134, 0.7500, 0.6363).

The energy relative to the lowest polymorph listed for this composition comes out at 0.00 eV per formula unit. The formation energy from raw total energies is -0.728 eV/atom.

YAu6 | PBE | optimized geometry

It has space group Pm-3m (No. 221), with a = 6.4317 Å, b = 6.4317 Å, c = 6.4317 Å, α = 90.00°, β = 90.00° and γ = 90.00°. Symmetry generates all atoms from Y at (0.0000, 0.0000, 0.0000) and Au at (0.1964, 0.5000, 0.5000).

For the formation energy, the calculation gives 0.85 eV/atom. The energy relative to the lowest polymorph listed for this composition comes out at 2.65 eV per formula unit.

Pr2DyScTl2 | PBE | optimized geometry

It has space group Pmc2_1 (No. 26), with a = 5.0173 Å, b = 10.0515 Å, c = 6.9953 Å, α = 90.00°, β = 90.00° and γ = 90.00°. Symmetry generates all atoms from Pr at (0.0000, 0.0490, 0.0000), Pr at (0.5000, 0.1877, 0.2742), Dy at (0.5000, 0.4551, 0.8989), Sc at (0.0000, 0.3126, 0.6060), Tl at (0.0000, 0.3893, 0.1708) and Tl at (0.5000, 0.1532, 0.7347).

For the formation energy, the calculation gives -0.25 eV/atom.

CdAg2Pd3 | PBE | optimized geometry

It has space group C2/c (No. 15), with a = 7.2298 Å, b = 8.0210 Å, c = 7.2644 Å, α = 90.00°, β = 101.08° and γ = 90.00°. Symmetry generates all atoms from Cd at (0.0000, 0.0824, 0.2500), Ag at (0.1247, 0.2544, 0.6254), Pd at (0.0000, 0.4169, 0.2500) and Pd at (0.2469, 0.4155, 0.0002).

For the formation energy, the calculation gives -0.08 eV/atom. The energy relative to the lowest polymorph listed for this composition comes out at 0.57 eV per formula unit.

CsPbIN2 | PBE | optimized geometry

It has space group P4/mmm (No. 123), with a = 5.0112 Å, b = 5.0112 Å, c = 6.4617 Å, α = 90.00°, β = 90.00° and γ = 90.00°. Symmetry generates all atoms from Cs at (0.0000, 0.0000, 0.0000), Pb at (0.5000, 0.5000, 0.5000), I at (0.5000, 0.5000, 0.0000) and N at (0.0000, 0.5000, 0.5000).

The energy relative to the lowest polymorph listed for this composition comes out at 0.00 eV per formula unit. The formation energy from raw total energies is 0.969 eV/atom.

| no. | total moment (μB per atom) | raw total energy (eV per atom) |
| --- | --- | --- |
| 1 | 0.000 | -6.96 |
| 2 | 0.000 | -3.79 |
| 3 | 0.000 | -5.67 |
| 4 | 0.000 | -2.64 |
| 5 | 0.119 | -2.89 |
| 6 | 0.000 | -4.46 |
| 7 | 0.000 | -3.78 |
| 8 | 0.686 | -3.58 |